The following is a GGA-PBE calculation of crystalline BeRuAu at its relaxed geometry, from the Alexandria database.

abc: 6.7145 6.7145 3.0749
angles: 90.00 90.00 120.00
Space group P-62m (No. 189)
One atom of each set of equivalent atoms:
Be  0.0000  0.0000  0.0000 [1 per cell]
Be  0.3333  0.6667  0.5000 [2 per cell]
Ru  0.0000  0.2533  0.5000 [3 per cell]
Au  0.0000  0.5987  0.0000 [3 per cell]

---

The following is a GGA-PBE calculation of crystalline K2LaMo at its relaxed geometry, from the Alexandria database.

abc: 8.407 8.407 8.407
angles: 90.00 90.00 90.00
Space group Fm-3m (No. 225)
One atom of each set of equivalent atoms:
K  0.250  0.250  0.250 [8 per cell]
La  0.000  0.000  0.000 [4 per cell]
Mo  0.000  0.000  0.500 [4 per cell]

---

| no. | distance to the lowest polymorph of the same formula (meV/atom) | energy of formation from the pure elements (eV/f.u.) |
| --- | --- | --- |
| 1 | 80 | 0.3 |
| 2 | 761 | 5.9 |